No. 1
Compound: CuTcTe2
Source: the Alexandria database
Functional: PBE
Structure: optimized geometry

a b c (Å): 3.462 3.756 14.127
angles (deg): 90.00 90.00 90.00
Space group Imm2 (No. 44)
One atom of each set of equivalent atoms:
Cu 0.000 0.000 0.000 [2 per cell]
Tc 0.000 0.500 0.874 [2 per cell]
Te 0.000 0.000 0.530 [2 per cell]
Te 0.000 0.500 0.285 [2 per cell]

## Properties
DOS at the Fermi energy = 2.53 states/eV/f.u.
Mass density = 7.53 g/cm³
E above lowest polymorph = 18 meV/atom

***

No. 2
Compound: CuReHg2
Source: the Alexandria database
Functional: PBE
Structure: optimized geometry

a b c (Å): 4.025 4.025 8.668
angles (deg): 90.00 90.00 90.00
Space group I-4m2 (No. 119)
One atom of each set of equivalent atoms:
Cu 0.000 0.000 0.000 [2 per cell]
Re 0.000 0.500 0.250 [2 per cell]
Hg 0.000 0.000 0.500 [2 per cell]
Hg 0.000 0.500 0.750 [2 per cell]

## Properties
E_form = 0.9257 eV/atom
DOS at the Fermi energy = 3.22 states/eV/f.u.
Mass density = 15.40 g/cm³
E above lowest polymorph = 380 meV/atom

***

No. 3
Compound: Pm6PrYSc2
Source: the Alexandria database
Functional: PBE
Structure: optimized geometry

a b c (Å): 9.097 15.058 9.627
angles (deg): 90.00 98.37 90.00
Space group C2/c (No. 15)
One atom of each set of equivalent atoms:
Pm 0.065 0.174 0.447 [8 per cell]
Pm 0.099 0.398 0.620 [8 per cell]
Pm 0.208 0.229 0.820 [8 per cell]
Pr 0.000 0.404 0.250 [4 per cell]
Y 0.000 0.029 0.750 [4 per cell]
Sc 0.244 0.050 0.047 [8 per cell]

## Properties
E_form = 0.1204 eV/atom
DOS at the Fermi energy = 15.84 states/eV/f.u.
Mass density = 6.06 g/cm³

***

No. 4
Compound: ZrTa2Sb2
Source: the Alexandria database
Functional: PBE
Structure: optimized geometry

a b c (Å): 7.828 7.828 3.420
angles (deg): 90.00 90.00 90.00
Space group P4/mbm (No. 127)
One atom of each set of equivalent atoms:
Zr 0.000 0.000 0.000 [2 per cell]
Ta 0.138 0.362 0.500 [4 per cell]
Sb 0.154 0.654 0.000 [4 per cell]

## Properties
DOS at the Fermi energy = 4.34 states/eV/f.u.
Mass density = 11.04 g/cm³
Raw total energy = -40.5 eV/f.u.

***

No. 5
Compound: MoRu4Rh
Source: the Alexandria database
Functional: PBE
Structure: optimized geometry

a b c (Å): 7.119 7.119 7.119
angles (deg): 90.00 90.00 90.00
Space group F-43m (No. 216)
One atom of each set of equivalent atoms:
Mo 0.000 0.000 0.000 [4 per cell]
Ru 0.124 0.124 0.624 [16 per cell]
Rh 0.250 0.250 0.250 [4 per cell]

## Properties
E_form = 0.4112 eV/atom
DOS at the Fermi energy = 12.92 states/eV/f.u.
Mass density = 11.10 g/cm³
E above lowest polymorph = 403 meV/atom

***

No. 6
Compound: Tl6AgS8
Source: the Alexandria database
Functional: PBE
Structure: optimized geometry

a b c (Å): 11.9760 11.9760 11.3653
angles (deg): 90.00 90.00 120.00
Space group R-3 (No. 148, hexagonal axes)
One atom of each set of equivalent atoms:
Tl 0.0022 0.8073 0.3449 [18 per cell]
Ag 0.0000 0.0000 0.0000 [3 per cell]
S 0.0000 0.0000 0.2072 [6 per cell]
S 0.0131 0.7574 0.5881 [18 per cell]

## Properties
DOS at the Fermi energy = 10.33 states/eV/f.u.
Mass density = 5.61 g/cm³
Raw total energy = -49.7 eV/f.u.